1.
First-principles (GGA-PBE) data for a relaxed structure of Th2TcO, as listed in the Alexandria database.

Properties
D(E_F)	14.21	states/eV/cell
crystal system	trigonal
raw total energy	-8.624	eV per atom

a = 4.2158 Å, b = 4.2158 Å, c = 22.1110 Å
α = 90.00°, β = 90.00°, γ = 120.00°
Space group R-3m (No. 166, hexagonal axes)
Asymmetric unit:
Th1 0.0000 0.0000 0.0976 [6 per cell]
Tc1 0.0000 0.0000 0.5000 [3 per cell]
O1 0.0000 0.0000 0.0000 [3 per cell]

2.
First-principles (GGA-PBE) data for a relaxed structure of ThTcO5, as listed in the Alexandria database.

Properties
D(E_F)	6.12	states/eV/cell
crystal system	monoclinic
raw total energy	-8.394	eV per atom

a = 9.167 Å, b = 6.596 Å, c = 7.623 Å
α = 90.00°, β = 114.43°, γ = 90.00°
Space group C2/c (No. 15)
Asymmetric unit:
Th1 0.000 0.045 0.250 [4 per cell]
Tc1 0.000 0.500 0.000 [4 per cell]
O1 0.000 0.443 0.250 [4 per cell]
O2 0.010 0.198 0.970 [8 per cell]
O3 0.218 0.485 0.611 [8 per cell]

3.
First-principles (GGA-PBE) data for a relaxed structure of ThTl2Tc3O12, as listed in the Alexandria database.

Properties
D(E_F)	20.03	states/eV/cell
crystal system	trigonal
raw total energy	-7.264	eV per atom

a = 7.5578 Å, b = 7.5578 Å, c = 15.4865 Å
α = 90.00°, β = 90.00°, γ = 120.00°
Space group R-3m (No. 166, hexagonal axes)
Asymmetric unit:
Th1 0.0000 0.0000 0.0000 [3 per cell]
Tl1 0.0000 0.0000 0.3931 [6 per cell]
Tc1 0.0000 0.5000 0.5000 [9 per cell]
O1 0.0263 0.5132 0.3813 [18 per cell]
O2 0.0929 0.5465 0.8167 [18 per cell]

4.
First-principles (GGA-PBE) data for a relaxed structure of ThTlTcO6, as listed in the Alexandria database.

Properties
crystal system	trigonal
raw total energy	-7.463	eV per atom

a = 5.7543 Å, b = 5.7543 Å, c = 5.7445 Å
α = 90.00°, β = 90.00°, γ = 120.00°
Space group P312 (No. 149)
Asymmetric unit:
Th1 0.0000 0.0000 0.0000 [1 per cell]
Tl1 0.6667 0.3333 0.5000 [1 per cell]
Tc1 0.3333 0.6667 0.0000 [1 per cell]
O1 0.0744 0.3814 0.1899 [6 per cell]